(1)
Here is an optimized crystal structure of TcHg2Ru from Alexandria via LeMat-Bulk. Energies are from PBE.

Geometry as POSCAR:
```
TcHg2Ru
1.0
7.6182 0.0000 0.0000
0.0000 7.6182 0.0000
3.8091 3.8091 2.6896
Hg Ru Tc
4 2 2
Direct
0.3750 0.3708 0.7500
0.8750 0.8792 0.7500
0.6292 0.1250 0.2500
0.1208 0.6250 0.2500
0.7500 0.2500 0.5000
0.0000 0.0000 0.0000
0.2500 0.7500 0.5000
0.5000 0.5000 0.0000
```

- Energy relative to the elements: 1.138 eV per atom
- Total DFT energy (no corrections): -31.4 eV for the cell shown
- Excess energy over the best structure of this formula in the dataset: 885 meV/atom
- Space-group type: I-42d (122)

(2)
Here is an optimized crystal structure of Li8ZnHg6 from Alexandria via LeMat-Bulk. Energies are from PBE.

Geometry as POSCAR:
```
Li8ZnHg6
1.0
8.0052 0.0000 0.0000
4.0026 6.9327 0.0000
4.0026 2.3109 5.6605
Li Hg Zn
8 6 1
Direct
0.6671 0.6671 0.9987
0.7859 0.1194 0.6523
0.4423 0.7859 0.6523
0.8806 0.5577 0.3477
0.2141 0.8806 0.3477
0.1194 0.4423 0.6523
0.5577 0.2141 0.3477
0.3329 0.3329 0.0013
0.9474 0.2812 0.1665
0.7188 0.3951 0.8335
0.3951 0.0526 0.8335
0.6049 0.9474 0.1665
0.2812 0.6049 0.1665
0.0526 0.7188 0.8335
0.0000 0.0000 0.0000
```

- Energy relative to the elements: -0.218 eV per atom
- Total DFT energy (no corrections): -21.7 eV for the cell shown
- Space-group type: R-3 (148)

(3)
Here is an optimized crystal structure of CdTe2 from Alexandria via LeMat-Bulk. Energies are from PBE.

Geometry as POSCAR:
```
CdTe2
1.0
-3.3421 3.3421 3.9781
3.3421 -3.3421 3.9781
3.3421 3.3421 -3.9781
Te Cd
4 2
Direct
0.1486 0.6486 0.7973
0.8514 0.3514 0.2027
0.3514 0.1486 0.5000
0.6486 0.8514 0.5000
0.7500 0.7500 0.0000
0.2500 0.2500 0.0000
```

- Formation energy from raw total energies: -0.082 eV/atom
- Total DFT energy (no corrections): -14.9 eV for the cell shown
- Space-group type: I4/mcm (140)

(4)
Here is an optimized crystal structure of BeNbRe3 from Alexandria via LeMat-Bulk. Energies are from PBE.

Geometry as POSCAR:
```
BeNbRe3
1.0
4.1890 0.0000 0.0000
0.0000 4.1890 0.0000
0.0000 0.0000 4.1890
Re Nb Be
3 1 1
Direct
0.0000 0.5000 0.0000
0.0000 0.0000 0.5000
0.5000 0.0000 0.0000
0.5000 0.5000 0.5000
0.0000 0.0000 0.0000
```

- Energy relative to the elements: 0.459 eV per atom
- Total DFT energy (no corrections): -48.8 eV for the cell shown
- Excess energy over the best structure of this formula in the dataset: 0 meV/atom
- Space-group type: Pm-3m (221)

(5)
Here is an optimized crystal structure of Hg2OsBr from Alexandria via LeMat-Bulk. Energies are from PBE.

Geometry as POSCAR:
```
Hg2OsBr
1.0
3.0903 0.0000 0.0000
0.0000 3.0903 0.0000
0.0000 0.0000 9.3485
Br Os Hg
1 1 2
Direct
0.5000 0.5000 0.6762
0.0000 0.0000 0.5087
0.5000 0.5000 0.2993
0.0000 0.0000 0.0158
```

- Formation energy from raw total energies: 0.821 eV/atom
- Total DFT energy (no corrections): -10.2 eV for the cell shown
- Excess energy over the best structure of this formula in the dataset: 241 meV/atom
- Space-group type: P4mm (99)

(6)
Here is an optimized crystal structure of Cs4La3TiSe8 from Alexandria via LeMat-Bulk. Energies are from PBE.

Geometry as POSCAR:
```
Cs4La3TiSe8
1.0
8.7354 0.0000 0.0000
-0.0001 9.7365 0.6936
-4.3677 -4.3568 6.1828
Cs Se La Ti
4 8 3 1
Direct
0.5000 0.0000 0.5000
0.0000 0.0000 0.5000
0.5000 0.0000 0.0000
0.0000 0.0000 0.0000
0.7865 0.3181 0.5730
0.2681 0.3043 0.5362
0.7546 0.6820 0.9683
0.2454 0.3180 0.0317
0.7863 0.3180 0.0317
0.2137 0.6820 0.9683
0.2135 0.6819 0.4270
0.7319 0.6957 0.4638
0.5000 0.5000 0.5000
0.5000 0.5000 0.0000
0.0000 0.5000 0.5000
0.0000 0.5000 0.0000
```

- Formation energy from raw total energies: -1.590 eV/atom
- Total DFT energy (no corrections): -79.4 eV for the cell shown
- Space-group type: R-3m (166)

total DFT energy (no corrections) of number 5 (Hg2OsBr)?
-10.2 eV for the cell shown

Which value of total DFT energy (no corrections) does entry 5 give?
-10.2 eV for the cell shown